Record 1
First-principles (GGA-PBE) data for crystalline HfTaTl2O6 at its relaxed geometry, as listed in the Alexandria database.

Output
total energy: -314.445 eV per cell
size of the total moment: 0.000 μB/f.u.

The structure in CIF format:
```
data_HfTaTl2O6
_symmetry_space_group_name_H-M 'F m -3 m'
_symmetry_Int_Tables_number 225
_symmetry_space_group_name_Hall '-F 4 2 3'
_cell_length_a 8.231
_cell_length_b 8.231
_cell_length_c 8.231
_cell_angle_alpha 90.00
_cell_angle_beta 90.00
_cell_angle_gamma 90.00
loop_
_atom_site_label
_atom_site_type_symbol
_atom_site_fract_x
_atom_site_fract_y
_atom_site_fract_z
Hf1 Hf 0.000 0.000 0.000
Ta1 Ta 0.000 0.000 0.500
Tl1 Tl 0.250 0.250 0.250
O1 O 0.000 0.000 0.255
```



Record 2
First-principles (GGA-PBE) data for crystalline PmSc2Rh at its relaxed geometry, as listed in the Alexandria database.

Output
total energy: -77.450 eV per cell
size of the total moment: 0.000 μB/f.u.
energy relative to the lowest polymorph listed for this composition: 229 meV per atom
formation energy: -0.26 eV per atom

The structure in CIF format:
```
data_PmSc2Rh
_symmetry_space_group_name_H-M 'R -3 m'
_symmetry_Int_Tables_number 166
_symmetry_space_group_name_Hall '-R 3 2"'
_cell_length_a 4.4298
_cell_length_b 4.4298
_cell_length_c 17.3228
_cell_angle_alpha 90.00
_cell_angle_beta 90.00
_cell_angle_gamma 120.00
loop_
_atom_site_label
_atom_site_type_symbol
_atom_site_fract_x
_atom_site_fract_y
_atom_site_fract_z
Pm1 Pm 0.0000 0.0000 0.0000
Sc1 Sc 0.0000 0.0000 0.2135
Rh1 Rh 0.0000 0.0000 0.5000
```



Record 3
First-principles (GGA-PBE) data for crystalline La4Er2H at its relaxed geometry, as listed in the Alexandria database.

Output
total energy: -63.284 eV per cell
size of the total moment: 0.000 μB/f.u.

The structure in CIF format:
```
data_La4Er2H
_symmetry_space_group_name_H-M 'I 4/m m m'
_symmetry_Int_Tables_number 139
_symmetry_space_group_name_Hall '-I 4 2'
_cell_length_a 5.049
_cell_length_b 5.049
_cell_length_c 17.446
_cell_angle_alpha 90.00
_cell_angle_beta 90.00
_cell_angle_gamma 90.00
loop_
_atom_site_label
_atom_site_type_symbol
_atom_site_fract_x
_atom_site_fract_y
_atom_site_fract_z
La1 La 0.000 0.000 0.158
La2 La 0.000 0.500 0.000
Er1 Er 0.000 0.000 0.363
H1 H 0.000 0.000 0.000
```



Record 4
First-principles (GGA-PBE) data for crystalline CaNp2GeO8 at its relaxed geometry, as listed in the Alexandria database.

Output
total energy: -103.242 eV per cell
size of the total moment: 4.000 μB/f.u.

The structure in CIF format:
```
data_CaNp2GeO8
_symmetry_space_group_name_H-M 'P 1 2/m 1'
_symmetry_Int_Tables_number 10
_symmetry_space_group_name_Hall '-P 2y'
_cell_length_a 4.868
_cell_length_b 6.823
_cell_length_c 4.869
_cell_angle_alpha 90.00
_cell_angle_beta 91.86
_cell_angle_gamma 90.00
loop_
_atom_site_label
_atom_site_type_symbol
_atom_site_fract_x
_atom_site_fract_y
_atom_site_fract_z
Ca1 Ca 0.000 0.000 0.000
Np1 Np 0.500 0.259 0.500
Ge1 Ge 0.000 0.500 0.000
O1 O 0.194 0.290 0.192
O2 O 0.285 0.500 0.713
O3 O 0.322 0.000 0.676
```



Record 5
First-principles (GGA-PBE) data for crystalline Cr2SiOs at its relaxed geometry, as listed in the Alexandria database.

Output
total energy: -70.380 eV per cell
size of the total moment: 0.000 μB/f.u.

The structure in CIF format:
```
data_Cr2SiOs
_symmetry_space_group_name_H-M 'C m m 2'
_symmetry_Int_Tables_number 35
_symmetry_space_group_name_Hall 'C 2 -2'
_cell_length_a 2.891
_cell_length_b 4.486
_cell_length_c 7.904
_cell_angle_alpha 90.00
_cell_angle_beta 90.00
_cell_angle_gamma 90.00
loop_
_atom_site_label
_atom_site_type_symbol
_atom_site_fract_x
_atom_site_fract_y
_atom_site_fract_z
Cr1 Cr 0.000 0.000 0.000
Cr2 Cr 0.000 0.500 0.235
Si1 Si 0.000 0.500 0.759
Os1 Os 0.000 0.000 0.508
```



Record 6
First-principles (GGA-PBE) data for crystalline ErSiPd at its relaxed geometry, as listed in the Alexandria database.

Output
total energy: -35.463 eV per cell
size of the total moment: 0.000 μB/f.u.

The structure in CIF format:
```
data_ErSiPd
_symmetry_space_group_name_H-M 'P m m n'
_symmetry_Int_Tables_number 59
_cell_length_a 4.125
_cell_length_b 4.148
_cell_length_c 6.726
_cell_angle_alpha 90.00
_cell_angle_beta 90.00
_cell_angle_gamma 90.00
loop_
_symmetry_equiv_pos_as_xyz
'x,y,z'
'-x,-y,-z'
'-x+1/2,-y+1/2,z'
'x+1/2,y+1/2,-z'
'x+1/2,-y,-z'
'-x+1/2,y,z'
'-x,y+1/2,-z'
'x,-y+1/2,z'
loop_
_atom_site_label
_atom_site_type_symbol
_atom_site_fract_x
_atom_site_fract_y
_atom_site_fract_z
Er1 Er 0.250 0.250 0.169
Si1 Si 0.250 0.250 0.725
Pd1 Pd 0.250 0.750 0.498
```



Record 7
First-principles (GGA-PBE) data for crystalline DyY2Co at its relaxed geometry, as listed in the Alexandria database.

Output
total energy: -24.764 eV per cell
size of the total moment: 0.892 μB/f.u.
energy relative to the lowest polymorph listed for this composition: 121 meV per atom
formation energy: -0.03 eV per atom

The structure in CIF format:
```
data_DyY2Co
_symmetry_space_group_name_H-M 'P 4/m m m'
_symmetry_Int_Tables_number 123
_symmetry_space_group_name_Hall '-P 4 2'
_cell_length_a 3.412
_cell_length_b 3.412
_cell_length_c 8.855
_cell_angle_alpha 90.00
_cell_angle_beta 90.00
_cell_angle_gamma 90.00
loop_
_atom_site_label
_atom_site_type_symbol
_atom_site_fract_x
_atom_site_fract_y
_atom_site_fract_z
Dy1 Dy 0.000 0.000 0.000
Y1 Y 0.500 0.500 0.316
Co1 Co 0.000 0.000 0.500
```



Record 8
First-principles (GGA-PBE) data for crystalline K2ZnW at its relaxed geometry, as listed in the Alexandria database.

Output
total energy: -42.971 eV per cell
size of the total moment: 3.990 μB/f.u.
formation energy: 1.42 eV per atom

The structure in CIF format:
```
data_K2ZnW
_symmetry_space_group_name_H-M 'I -4 2 d'
_symmetry_Int_Tables_number 122
_symmetry_space_group_name_Hall 'I -4 2bw'
_cell_length_a 12.061
_cell_length_b 12.061
_cell_length_c 5.106
_cell_angle_alpha 90.00
_cell_angle_beta 90.00
_cell_angle_gamma 90.00
loop_
_atom_site_label
_atom_site_type_symbol
_atom_site_fract_x
_atom_site_fract_y
_atom_site_fract_z
K1 K 0.093 0.250 0.125
Zn1 Zn 0.000 0.000 0.000
W1 W 0.000 0.000 0.500
```



Record 9
First-principles (GGA-PBE) data for crystalline SiH3Pd6 at its relaxed geometry, as listed in the Alexandria database.

Output
total energy: -96.905 eV per cell
size of the total moment: 0.000 μB/f.u.
energy relative to the lowest polymorph listed for this composition: 79 meV per atom

The structure in CIF format:
```
data_SiH3Pd6
_symmetry_space_group_name_H-M 'P m n 21'
_symmetry_Int_Tables_number 31
_symmetry_space_group_name_Hall 'P 2ac -2'
_cell_length_a 2.961
_cell_length_b 5.969
_cell_length_c 13.228
_cell_angle_alpha 90.00
_cell_angle_beta 90.00
_cell_angle_gamma 90.00
loop_
_atom_site_label
_atom_site_type_symbol
_atom_site_fract_x
_atom_site_fract_y
_atom_site_fract_z
Si1 Si 0.000 0.247 0.000
H1 H 0.000 0.278 0.516
H2 H 0.000 0.556 0.728
H3 H 0.000 0.944 0.275
Pd1 Pd 0.000 0.248 0.771
Pd2 Pd 0.000 0.253 0.235
Pd3 Pd 0.000 0.508 0.413
Pd4 Pd 0.000 0.595 0.093
Pd5 Pd 0.000 0.904 0.911
Pd6 Pd 0.000 0.989 0.591
```



Record 10
First-principles (GGA-PBE) data for crystalline LiMoP3 at its relaxed geometry, as listed in the Alexandria database.

Output
total energy: -23.737 eV per cell
size of the total moment: 0.000 μB/f.u.
energy relative to the lowest polymorph listed for this composition: 822 meV per atom
formation energy: 1.05 eV per atom

The structure in CIF format:
```
data_LiMoP3
_symmetry_space_group_name_H-M 'P m -3 m'
_symmetry_Int_Tables_number 221
_symmetry_space_group_name_Hall '-P 4 2 3'
_cell_length_a 4.213
_cell_length_b 4.213
_cell_length_c 4.213
_cell_angle_alpha 90.00
_cell_angle_beta 90.00
_cell_angle_gamma 90.00
loop_
_atom_site_label
_atom_site_type_symbol
_atom_site_fract_x
_atom_site_fract_y
_atom_site_fract_z
Li1 Li 0.000 0.000 0.000
Mo1 Mo 0.500 0.500 0.500
P1 P 0.000 0.000 0.500
```



Record 11
First-principles (GGA-PBE) data for crystalline MgZnTe2 at its relaxed geometry, as listed in the Alexandria database.

Output
total energy: -39.546 eV per cell
size of the total moment: 0.000 μB/f.u.

The structure in CIF format:
```
data_MgZnTe2
_symmetry_space_group_name_H-M 'I 4/m c m'
_symmetry_Int_Tables_number 140
_symmetry_space_group_name_Hall '-I 4 2c'
_cell_length_a 7.416
_cell_length_b 7.416
_cell_length_c 7.378
_cell_angle_alpha 90.00
_cell_angle_beta 90.00
_cell_angle_gamma 90.00
loop_
_atom_site_label
_atom_site_type_symbol
_atom_site_fract_x
_atom_site_fract_y
_atom_site_fract_z
Mg1 Mg 0.000 0.500 0.250
Zn1 Zn 0.000 0.000 0.250
Te1 Te 0.206 0.294 0.000
```



Record 12
First-principles (GGA-PBE) data for crystalline LiCr2C at its relaxed geometry, as listed in the Alexandria database.

Output
total energy: -114.274 eV per cell
size of the total moment: 0.000 μB/f.u.
formation energy: 0.45 eV per atom

The structure in CIF format:
```
data_LiCr2C
_symmetry_space_group_name_H-M 'I -4 2 d'
_symmetry_Int_Tables_number 122
_symmetry_space_group_name_Hall 'I -4 2bw'
_cell_length_a 6.433
_cell_length_b 6.433
_cell_length_c 4.065
_cell_angle_alpha 90.00
_cell_angle_beta 90.00
_cell_angle_gamma 90.00
loop_
_atom_site_label
_atom_site_type_symbol
_atom_site_fract_x
_atom_site_fract_y
_atom_site_fract_z
Li1 Li 0.000 0.000 0.000
Cr1 Cr 0.159 0.250 0.625
C1 C 0.000 0.000 0.500
```